# 1
Here is MoPOsN after structural relaxation from Alexandria via LeMat-Bulk. Energies are from PBE-GGA.

Summary:
Total magnetic moment   0.00 μB per formula unit
Calculated volume   13.4 A^3/atom
Total energy   -35.8 eV/cell
E_form (uncorrected)   0.01 eV per atom
Energy relative to the lowest polymorph listed for this composition   15.57 kJ per mole of atoms

a = 2.7607 Å, b = 2.8812 Å, c = 6.7327 Å
α = 90.00°, β = 90.00°, γ = 90.00°
Last column: nearest neighbours and their distance in Å.
Space group Pmm2 (No. 25)
One atom of each set of equivalent atoms:
Mo 0.0000 0.0000 0.0000 [1 per cell]  1 N 2.07
P 0.5000 0.0000 0.4578 [1 per cell]  2 N 1.71
Os 0.5000 0.5000 0.7292 [1 per cell]  2 P 2.33
N 0.0000 0.0000 0.3076 [1 per cell]  2 P 1.71

---

# 2
Here is MoPOsN after structural relaxation from Alexandria via LeMat-Bulk. Energies are from PBE-GGA.

Summary:
Total magnetic moment   0.00 μB per formula unit
Calculated volume   12.7 A^3/atom
Total energy   -35.9 eV/cell
E_form (uncorrected)   -0.02 eV per atom
Energy relative to the lowest polymorph listed for this composition   12.47 kJ per mole of atoms

a = 3.0377 Å, b = 3.9322 Å, c = 4.4419 Å
α = 90.00°, β = 106.13°, γ = 90.00°
Last column: nearest neighbours and their distance in Å.
Space group Pm (No. 6)
One atom of each set of equivalent atoms:
Mo 0.0000 0.0000 0.0000 [1 per cell]  2 N 2.03-2.15
P 0.5597 0.5000 0.1461 [1 per cell]  3 Os 2.32-2.53, 4 Mo 2.56
Os 0.2238 0.5000 0.5574 [1 per cell]  2 N 2.03
N 0.3369 0.0000 0.6641 [1 per cell]  2 Os 2.03, 2 Mo 2.03-2.15

---

# 3
Here is MoPOsN after structural relaxation from Alexandria via LeMat-Bulk. Energies are from PBE-GGA.

Summary:
Total magnetic moment   0.00 μB per formula unit
Calculated volume   13.4 A^3/atom
Total energy   -71.4 eV/cell
E_form (uncorrected)   0.02 eV per atom
Energy relative to the lowest polymorph listed for this composition   16.54 kJ per mole of atoms

a = 7.3094 Å, b = 2.9299 Å, c = 5.0676 Å
α = 90.00°, β = 98.11°, γ = 90.00°
Last column: nearest neighbours and their distance in Å.
Space group Cm (No. 8)
One atom of each set of equivalent atoms:
Mo 0.0000 0.0000 0.0000 [2 per cell]  3 N 2.10-2.27
P 0.2649 0.5000 0.6237 [2 per cell]  3 Os 2.23-2.29, 1 Mo 2.38
Os 0.4645 0.0000 0.4642 [2 per cell]  1 N 2.05, 3 P 2.23-2.29
N 0.3125 0.0000 0.0919 [2 per cell]  1 Os 2.05, 3 Mo 2.10-2.27

---

# 4
Here is MoPOsN after structural relaxation from Alexandria via LeMat-Bulk. Energies are from PBE-GGA.

Summary:
Total magnetic moment   0.00 μB per formula unit
Calculated volume   13.4 A^3/atom
Total energy   -72.6 eV/cell
E_form (uncorrected)   -0.13 eV per atom
Energy relative to the lowest polymorph listed for this composition   2.28 kJ per mole of atoms

a = 6.7726 Å, b = 2.9889 Å, c = 6.1724 Å
α = 90.00°, β = 121.23°, γ = 90.00°
Last column: nearest neighbours and their distance in Å.
Space group Cm (No. 8)
One atom of each set of equivalent atoms:
Mo 0.0000 0.0000 0.0000 [2 per cell]  3 N 2.08
P 0.0454 0.5000 0.3557 [2 per cell]  3 Os 2.28-2.31, 2 Mo 2.54
Os 0.3481 0.0000 0.5632 [2 per cell]  1 N 2.07, 1 P 2.28
N 0.1570 0.5000 0.9062 [2 per cell]  1 Os 2.07, 3 Mo 2.08

---

# 5
Here is MoPOsN after structural relaxation from Alexandria via LeMat-Bulk. Energies are from PBE-GGA.

Summary:
Total magnetic moment   0.00 μB per formula unit
Calculated volume   12.3 A^3/atom
Total energy   -72.6 eV/cell
E_form (uncorrected)   -0.12 eV per atom
Energy relative to the lowest polymorph listed for this composition   2.66 kJ per mole of atoms

a = 2.8432 Å, b = 2.8432 Å, c = 12.1234 Å
α = 90.00°, β = 90.00°, γ = 90.00°
Last column: nearest neighbours and their distance in Å.
Space group I4mm (No. 107)
One atom of each set of equivalent atoms:
Mo 0.0000 0.0000 0.0000 [2 per cell]  4 N 2.24
P 0.0000 0.0000 0.7226 [2 per cell]  1 N 1.70
Os 0.0000 0.0000 0.3245 [2 per cell]  4 P 2.36
N 0.0000 0.0000 0.5824 [2 per cell]  1 P 1.70

---

# 6
Here is Mo2OsPdN after structural relaxation from Alexandria via LeMat-Bulk. Energies are from PBE-GGA.

Summary:
Total magnetic moment   0.00 μB per formula unit
Calculated volume   21.1 A^3/atom
Total energy   -33.3 eV/cell
E_form (uncorrected)   2.61 eV per atom

a = 4.6858 Å, b = 4.6858 Å, c = 4.8030 Å
α = 90.00°, β = 90.00°, γ = 90.00°
Last column: nearest neighbours and their distance in Å.
Space group P4/mmm (No. 123)
One atom of each set of equivalent atoms:
Mo 0.0000 0.5000 0.0000 [2 per cell]  2 Os 2.34
Os 0.0000 0.0000 0.0000 [1 per cell]  4 Mo 2.34, 2 Pd 2.40
Pd 0.0000 0.0000 0.5000 [1 per cell]  2 Os 2.40
N 0.5000 0.5000 0.5000 [1 per cell]  4 Pd 3.31, 8 Mo 3.36

---

# 7
Here is Mo2OsPtN after structural relaxation from Alexandria via LeMat-Bulk. Energies are from PBE-GGA.

Summary:
Total magnetic moment   0.00 μB per formula unit
Calculated volume   13.6 A^3/atom
Total energy   -47.5 eV/cell
E_form (uncorrected)   -0.05 eV per atom

a = 4.0957 Å, b = 4.0957 Å, c = 4.0586 Å
α = 90.00°, β = 90.00°, γ = 90.00°
Last column: nearest neighbours and their distance in Å.
Space group P4/mmm (No. 123)
One atom of each set of equivalent atoms:
Mo 0.0000 0.5000 0.0000 [2 per cell]  2 N 2.05
Os 0.0000 0.0000 0.5000 [1 per cell]  2 N 2.03
Pt 0.5000 0.5000 0.5000 [1 per cell]  8 Mo 2.88, 4 Os 2.90
N 0.0000 0.0000 0.0000 [1 per cell]  2 Os 2.03, 4 Mo 2.05

---

# 8
Here is MoOsPtN2 after structural relaxation from Alexandria via LeMat-Bulk. Energies are from PBE-GGA.

Summary:
Total magnetic moment   0.75 μB per formula unit
Calculated volume   16.1 A^3/atom
Total energy   -34.8 eV/cell
E_form (uncorrected)   1.99 eV per atom

a = 3.7017 Å, b = 3.7017 Å, c = 5.8569 Å
α = 90.00°, β = 90.00°, γ = 90.00°
Last column: nearest neighbours and their distance in Å.
Space group P4/mmm (No. 123)
One atom of each set of equivalent atoms:
Mo 0.0000 0.0000 0.0000 [1 per cell]  4 Os 2.62, 2 Pt 2.93
Os 0.5000 0.5000 0.0000 [1 per cell]  4 Mo 2.62
Pt 0.0000 0.0000 0.5000 [1 per cell]  4 N 1.85
N 0.0000 0.5000 0.5000 [2 per cell]  2 Pt 1.85

---

# 9
Here is MoOsRh2N after structural relaxation from Alexandria via LeMat-Bulk. Energies are from PBE-GGA.

Summary:
Total magnetic moment   1.75 μB per formula unit
Calculated volume   21.0 A^3/atom
Total energy   -31.7 eV/cell
E_form (uncorrected)   2.68 eV per atom

a = 4.7104 Å, b = 4.7104 Å, c = 4.7378 Å
α = 90.00°, β = 90.00°, γ = 90.00°
Last column: nearest neighbours and their distance in Å.
Space group P4/mmm (No. 123)
One atom of each set of equivalent atoms:
Mo 0.0000 0.0000 0.0000 [1 per cell]  4 Rh 2.36, 2 Os 2.37
Os 0.0000 0.0000 0.5000 [1 per cell]  2 Mo 2.37
Rh 0.0000 0.5000 0.0000 [2 per cell]  2 Mo 2.36
N 0.5000 0.5000 0.5000 [1 per cell]  4 Os 3.33, 8 Rh 3.34

---

# 10
Here is SrMoOs2N after structural relaxation from Alexandria via LeMat-Bulk. Energies are from PBE-GGA.

Summary:
Total magnetic moment   0.00 μB per formula unit
Calculated volume   15.9 A^3/atom
Total energy   -38.7 eV/cell
E_form (uncorrected)   0.91 eV per atom

a = 4.0625 Å, b = 4.0625 Å, c = 4.8073 Å
α = 90.00°, β = 90.00°, γ = 90.00°
Last column: nearest neighbours and their distance in Å.
Space group P4/mmm (No. 123)
One atom of each set of equivalent atoms:
Sr 0.0000 0.0000 0.0000 [1 per cell]  2 N 2.40
Mo 0.5000 0.5000 0.0000 [1 per cell]  4 Sr 2.87, 8 Os 3.15
Os 0.0000 0.5000 0.5000 [2 per cell]  2 N 2.03
N 0.0000 0.0000 0.5000 [1 per cell]  4 Os 2.03

---

# 11
Here is TcMo2OsN after structural relaxation from Alexandria via LeMat-Bulk. Energies are from PBE-GGA.

Summary:
Total magnetic moment   0.00 μB per formula unit
Calculated volume   13.5 A^3/atom
Total energy   -51.7 eV/cell
E_form (uncorrected)   -0.02 eV per atom

a = 4.0946 Å, b = 4.0946 Å, c = 4.0178 Å
α = 90.00°, β = 90.00°, γ = 90.00°
Last column: nearest neighbours and their distance in Å.
Space group P4/mmm (No. 123)
One atom of each set of equivalent atoms:
Tc 0.0000 0.0000 0.0000 [1 per cell]  2 N 2.01
Mo 0.0000 0.5000 0.5000 [2 per cell]  2 N 2.05
Os 0.5000 0.5000 0.0000 [1 per cell]  8 Mo 2.87, 4 Tc 2.90
N 0.0000 0.0000 0.5000 [1 per cell]  2 Tc 2.01, 4 Mo 2.05

---

# 12
Here is TeMoOsN2 after structural relaxation from Alexandria via LeMat-Bulk. Energies are from PBE-GGA.

Summary:
Total magnetic moment   2.44 μB per formula unit
Calculated volume   17.6 A^3/atom
Total energy   -35.6 eV/cell
E_form (uncorrected)   1.25 eV per atom
Energy relative to the lowest polymorph listed for this composition   13.80 kJ per mole of atoms

a = 3.8881 Å, b = 3.8881 Å, c = 5.8373 Å
α = 90.00°, β = 90.00°, γ = 90.00°
Last column: nearest neighbours and their distance in Å.
Space group P4/mmm (No. 123)
One atom of each set of equivalent atoms:
Te 0.0000 0.0000 0.0000 [1 per cell]  4 Os 2.75, 2 Mo 2.92
Mo 0.0000 0.0000 0.5000 [1 per cell]  4 N 1.94
Os 0.5000 0.5000 0.0000 [1 per cell]  4 Te 2.75
N 0.0000 0.5000 0.5000 [2 per cell]  2 Mo 1.94

---

# 13
Here is TeMoOsN2 after structural relaxation from Alexandria via LeMat-Bulk. Energies are from PBE-GGA.

Summary:
Total magnetic moment   3.60 μB per formula unit
Calculated volume   17.6 A^3/atom
Total energy   -36.3 eV/cell
E_form (uncorrected)   1.11 eV per atom
Energy relative to the lowest polymorph listed for this composition   0.00 kJ per mole of atoms

a = 3.8634 Å, b = 3.8634 Å, c = 5.8793 Å
α = 90.00°, β = 90.00°, γ = 90.00°
Last column: nearest neighbours and their distance in Å.
Space group P4/mmm (No. 123)
One atom of each set of equivalent atoms:
Te 0.0000 0.0000 0.0000 [1 per cell]  4 Mo 2.73, 2 Os 2.94
Mo 0.5000 0.5000 0.0000 [1 per cell]  4 Te 2.73
Os 0.0000 0.0000 0.5000 [1 per cell]  4 N 1.93
N 0.0000 0.5000 0.5000 [2 per cell]  2 Os 1.93